No. 1
Y2As2Pb | the Alexandria database | PBE | relaxed; total energy = -61.22 eV for the cell shown; symmetry = No. 127; magnetization = 0.0 μB per formula unit; formation energy = -4.67 eV per formula unit; calculated volume = 24.84 A^3/atom; distance to the lowest polymorph of the same formula = 0 meV per atom; DOS(E_F) = 6.91 states/eV per cell
1.0
-5.7597 -4.3554 3.5015
0.7834 -5.6080 -5.6869
2.6593 -1.7973 2.1387
Pb Y As
2 4 4
direct
0.0000 0.0000 0.0000
0.5000 0.5000 0.0000
0.1546 0.6546 0.5000
0.6546 0.8454 0.5000
0.8454 0.3454 0.5000
0.3454 0.1546 0.5000
0.3529 0.8529 0.0000
0.8529 0.6471 0.0000
0.6471 0.1471 0.0000
0.1471 0.3529 0.0000



No. 2
Zn4AsPb | the Alexandria database | PBE | relaxed; total energy = -12.38 eV for the cell shown; symmetry = No. 216; magnetization = 0.0 μB per formula unit; formation energy = 1.07 eV per formula unit; calculated volume = 18.89 A^3/atom; DOS(E_F) = 1.46 states/eV per cell
1.0
1.2132 -3.4299 4.0332
-3.0711 -4.4009 0.8387
1.9623 -4.9368 -1.1311
Zn As Pb
4 1 1
direct
0.8751 0.3750 0.3750
0.3750 0.3750 0.8751
0.3750 0.8751 0.3750
0.3750 0.3750 0.3750
0.7500 0.7500 0.7500
0.0000 0.0000 0.0000



No. 3
Zn2AsPb2 | the Alexandria database | PBE | relaxed; total energy = -28.29 eV for the cell shown; symmetry = No. 127; magnetization = 0.0 μB per formula unit; formation energy = 0.47 eV per formula unit; calculated volume = 23.70 A^3/atom; distance to the lowest polymorph of the same formula = 0 meV per atom; DOS(E_F) = 5.10 states/eV per cell
1.0
-4.3338 -2.4207 -4.6222
-1.3598 -5.2770 4.0386
-3.8265 2.6640 2.1925
Pb As Zn
4 2 4
direct
0.1799 0.6799 0.5000
0.6799 0.8201 0.5000
0.8201 0.3201 0.5000
0.3201 0.1799 0.5000
0.0000 0.0000 0.0000
0.5000 0.5000 0.0000
0.3690 0.8690 0.0000
0.8690 0.6310 0.0000
0.6310 0.1310 0.0000
0.1310 0.3690 0.0000



No. 4
Zn2AsPb2 | the Alexandria database | PBE | relaxed; total energy = -26.58 eV for the cell shown; symmetry = No. 127; magnetization = 0.0 μB per formula unit; formation energy = 1.32 eV per formula unit; calculated volume = 24.55 A^3/atom; distance to the lowest polymorph of the same formula = 171 meV per atom; DOS(E_F) = 4.41 states/eV per cell
1.0
-6.9887 1.6023 -4.9266
-5.1040 -0.7113 7.0089
0.3311 3.1771 0.5636
Pb As Zn
4 2 4
direct
0.2993 0.7993 0.0000
0.7993 0.7007 0.0000
0.7007 0.2007 0.0000
0.2007 0.2993 0.0000
0.0000 0.0000 0.0000
0.5000 0.5000 0.0000
0.1022 0.6022 0.5000
0.6022 0.8978 0.5000
0.8978 0.3978 0.5000
0.3978 0.1022 0.5000



No. 5
Zn2As2Pb | the Alexandria database | PBE | relaxed; total energy = -15.80 eV for the cell shown; symmetry = No. 139; magnetization = 0.0 μB per formula unit; formation energy = -0.24 eV per formula unit; calculated volume = 21.82 A^3/atom; distance to the lowest polymorph of the same formula = 0 meV per atom; DOS(E_F) = 1.47 states/eV per cell
1.0
-2.7892 0.2672 2.8267
1.2091 -3.4734 1.5214
3.6556 1.7280 6.2457
Pb As Zn
1 2 2
direct
0.0000 0.0000 0.0000
0.3715 0.3715 0.2571
0.6285 0.6285 0.7429
0.7500 0.2500 0.5000
0.2500 0.7500 0.5000



No. 6
ZnAs3Pb | the Alexandria database | PBE | relaxed; total energy = -12.93 eV for the cell shown; symmetry = No. 221; magnetization = 0.0 μB per formula unit; formation energy = 6.00 eV per formula unit; calculated volume = 32.39 A^3/atom; distance to the lowest polymorph of the same formula = 718 meV per atom; DOS(E_F) = 8.97 states/eV per cell
1.0
-1.2017 -4.0463 3.4489
2.0653 -3.6134 -3.5198
4.8992 0.5308 2.3298
Pb As Zn
1 3 1
direct
0.0000 0.0000 0.0000
0.0000 0.5000 0.0000
0.0000 0.0000 0.5000
0.5000 0.0000 0.0000
0.5000 0.5000 0.5000



No. 7
ZnAsPb | the Alexandria database | PBE | relaxed; total energy = -9.65 eV for the cell shown; symmetry = No. 156; magnetization = 0.0 μB per formula unit; formation energy = -0.02 eV per formula unit; calculated volume = 23.96 A^3/atom; distance to the lowest polymorph of the same formula = 13 meV per atom; DOS(E_F) = 1.60 states/eV per cell
1.0
4.1328 0.0000 0.0000
-2.0664 3.5792 0.0000
0.0000 0.0000 4.8598
Pb As Zn
1 1 1
direct
0.6667 0.3333 0.3348
0.0000 0.0000 0.9118
0.3333 0.6667 0.7534



No. 8
ZnAsPb3 | the Alexandria database | PBE | relaxed; total energy = -14.82 eV for the cell shown; symmetry = No. 221; magnetization = 0.0 μB per formula unit; formation energy = 2.22 eV per formula unit; calculated volume = 30.20 A^3/atom; distance to the lowest polymorph of the same formula = 0 meV per atom; DOS(E_F) = 2.52 states/eV per cell
1.0
5.3251 0.0000 0.0000
0.0000 5.3251 0.0000
0.0000 0.0000 5.3251
Pb As Zn
3 1 1
direct
0.0000 0.5000 0.0000
0.0000 0.0000 0.5000
0.5000 0.0000 0.0000
0.5000 0.5000 0.5000
0.0000 0.0000 0.0000



No. 9
ZnAsPb | the Alexandria database | PBE | relaxed; total energy = -19.39 eV for the cell shown; symmetry = No. 12; magnetization = 0.0 μB per formula unit; formation energy = -0.06 eV per formula unit; calculated volume = 24.80 A^3/atom; distance to the lowest polymorph of the same formula = 0 meV per atom; DOS(E_F) = 1.89 states/eV per cell
1.0
4.0776 0.0585 0.3718
1.9175 3.5991 0.3718
0.6131 0.3740 10.2948
Zn As Pb
2 2 2
direct
0.2133 0.2133 0.4136
0.7867 0.7867 0.5864
0.0984 0.0984 0.6759
0.9016 0.9016 0.3241
0.6276 0.6276 0.1290
0.3724 0.3724 0.8710



No. 10
Zn2As2Pb | the Alexandria database | PBE | relaxed; total energy = -29.66 eV for the cell shown; symmetry = No. 127; magnetization = 0.0 μB per formula unit; formation energy = 0.72 eV per formula unit; calculated volume = 20.94 A^3/atom; distance to the lowest polymorph of the same formula = 193 meV per atom; DOS(E_F) = 4.30 states/eV per cell
1.0
-2.8946 2.8422 7.0823
-6.3345 -5.1191 -0.5346
1.6388 -2.1895 1.5485
Pb As Zn
2 4 4
direct
0.0000 0.0000 0.0000
0.5000 0.5000 0.0000
0.3358 0.8358 0.0000
0.8358 0.6642 0.0000
0.6642 0.1642 0.0000
0.1642 0.3358 0.0000
0.1304 0.6304 0.5000
0.6304 0.8696 0.5000
0.8696 0.3696 0.5000
0.3696 0.1304 0.5000



No. 11
ZnAs3Pb | the Alexandria database | PBE | relaxed; total energy = -16.52 eV for the cell shown; symmetry = No. 221; magnetization = 0.0 μB per formula unit; formation energy = 2.41 eV per formula unit; calculated volume = 24.10 A^3/atom; distance to the lowest polymorph of the same formula = 0 meV per atom; DOS(E_F) = 4.29 states/eV per cell
1.0
-3.9683 2.6344 -1.3076
-2.9384 -3.6454 1.5730
-0.1260 2.0416 4.4959
Pb As Zn
1 3 1
direct
0.5000 0.5000 0.5000
0.0000 0.5000 0.0000
0.0000 0.0000 0.5000
0.5000 0.0000 0.0000
0.0000 0.0000 0.0000



No. 12
ZnAsPb4 | the Alexandria database | PBE | relaxed; total energy = -17.90 eV for the cell shown; symmetry = No. 216; magnetization = 0.0 μB per formula unit; formation energy = 2.85 eV per formula unit; calculated volume = 30.94 A^3/atom; DOS(E_F) = 5.07 states/eV per cell
1.0
0.0000 4.5275 4.5275
4.5275 0.0000 4.5275
4.5275 4.5275 0.0000
Zn As Pb
1 1 4
direct
0.7500 0.7500 0.7500
0.0000 0.0000 0.0000
0.8746 0.3751 0.3751
0.3751 0.3751 0.8746
0.3751 0.8746 0.3751
0.3751 0.3751 0.3751



No. 13
ZnAsPb | the Alexandria database | PBE | relaxed; total energy = -9.20 eV for the cell shown; symmetry = No. 216; magnetization = 0.0 μB per formula unit; formation energy = 0.43 eV per formula unit; calculated volume = 24.96 A^3/atom; distance to the lowest polymorph of the same formula = 164 meV per atom; DOS(E_F) = 1.16 states/eV per cell
1.0
-1.4694 3.8716 2.2885
-1.2479 -0.2753 4.5555
2.7343 1.9635 3.3247
As Pb Zn
1 1 1
direct
0.0000 0.0000 0.0000
0.5000 0.5000 0.5000
0.7500 0.7500 0.7500



No. 14
Zn2As2Pb | the Alexandria database | PBE | relaxed; total energy = -15.07 eV for the cell shown; symmetry = No. 139; magnetization = 0.0 μB per formula unit; formation energy = 0.49 eV per formula unit; calculated volume = 21.34 A^3/atom; distance to the lowest polymorph of the same formula = 146 meV per atom; DOS(E_F) = 1.48 states/eV per cell
1.0
4.3709 0.0000 0.0000
0.0000 4.3709 0.0000
2.1855 2.1855 5.5854
Pb As Zn
1 2 2
direct
0.0000 0.0000 0.0000
0.7500 0.2500 0.5000
0.2500 0.7500 0.5000
0.3895 0.3895 0.2210
0.6105 0.6105 0.7790



No. 15
Zn2AsPb2 | the Alexandria database | PBE | relaxed; total energy = -13.82 eV for the cell shown; symmetry = No. 139; magnetization = 0.0 μB per formula unit; formation energy = 0.79 eV per formula unit; calculated volume = 24.36 A^3/atom; distance to the lowest polymorph of the same formula = 64 meV per atom; DOS(E_F) = 2.62 states/eV per cell
1.0
3.7379 0.0000 0.0000
0.0000 3.7379 0.0000
1.8689 1.8689 8.7157
Pb As Zn
2 1 2
direct
0.4023 0.4023 0.1953
0.5977 0.5977 0.8047
0.0000 0.0000 0.0000
0.7500 0.2500 0.5000
0.2500 0.7500 0.5000



No. 16
ZnAsPb | the Alexandria database | PBE | relaxed; total energy = -9.22 eV for the cell shown; symmetry = No. 107; magnetization = 0.0 μB per formula unit; formation energy = 0.41 eV per formula unit; calculated volume = 23.45 A^3/atom; distance to the lowest polymorph of the same formula = 159 meV per atom; DOS(E_F) = 1.53 states/eV per cell
1.0
6.1269 0.0351 0.0000
4.0469 4.6003 0.0000
-5.0869 -2.3177 2.5084
As Pb Zn
1 1 1
direct
0.0524 0.0524 0.0000
0.3269 0.3269 0.0000
0.6207 0.6207 0.0000



No. 17
ZrAsPb2 | the Alexandria database | PBE | relaxed; total energy = -19.93 eV for the cell shown; symmetry = No. 216; magnetization = 0.0 μB per formula unit; formation energy = 0.68 eV per formula unit; calculated volume = 25.13 A^3/atom; DOS(E_F) = 3.79 states/eV per cell
1.0
-1.2102 4.1047 2.9875
-4.9430 0.7829 1.4808
-1.3756 -0.7148 4.9835
Pb As Zr
2 1 1
direct
0.0000 0.0000 0.0000
0.2500 0.2500 0.2500
0.5000 0.5000 0.5000
0.7500 0.7500 0.7500



No. 18
ZrAsPb2 | the Alexandria database | PBE | relaxed; total energy = -20.48 eV for the cell shown; symmetry = No. 47; magnetization = 0.0 μB per formula unit; formation energy = 0.13 eV per formula unit; calculated volume = 24.69 A^3/atom; DOS(E_F) = 2.28 states/eV per cell
1.0
-1.1917 -3.4960 -1.3922
4.4972 -1.4491 -0.2106
-0.3630 -1.8452 4.9442
Pb As Zr
2 1 1
direct
0.0000 0.0000 0.0000
0.5000 0.5000 0.0000
0.0000 0.5000 0.5000
0.5000 0.0000 0.5000



No. 19
ZrAsPb2 | the Alexandria database | PBE | relaxed; total energy = -21.69 eV for the cell shown; symmetry = No. 71; magnetization = 0.0 μB per formula unit; formation energy = -1.08 eV per formula unit; calculated volume = 27.73 A^3/atom; DOS(E_F) = 2.26 states/eV per cell
1.0
8.1962 0.4761 0.4602
7.1652 4.0080 0.4602
0.6919 0.2020 3.8097
Pb As Zr
2 1 1
direct
0.0707 0.0707 0.9288
0.4293 0.4293 0.5712
0.2500 0.2500 0.2500
0.7500 0.7500 0.7500



No. 20
ZrAsPb2 | the Alexandria database | PBE | relaxed; total energy = -19.83 eV for the cell shown; symmetry = No. 65; magnetization = 0.0 μB per formula unit; formation energy = 0.78 eV per formula unit; calculated volume = 24.85 A^3/atom; DOS(E_F) = 2.62 states/eV per cell
1.0
-1.9144 2.6080 0.9669
0.6845 -1.6992 2.8364
7.4260 5.0041 1.2057
Pb As Zr
2 1 1
direct
0.0000 0.0000 0.9954
0.0000 0.0000 0.5046
0.5000 0.5000 0.7500
0.5000 0.5000 0.2500